1.
Sr2CdFe | Alexandria via LeMat-Bulk | PBE | optimized geometry; N(E_F) = 6.8 states/eV/f.u.; total moment = 0.683 μB per atom; energy = -2.897 eV per atom; crystal system = tetragonal; E_form = 0.29 eV/atom
1.0
-3.618 -0.704 -0.610
0.836 -3.533 -0.882
-0.982 -2.369 8.562
Cd Fe Sr
1 1 2
direct
0.000 0.000 0.568
0.500 0.500 0.687
0.000 0.000 0.928
0.500 0.500 0.317


2.
Sr2CdFe | Alexandria via LeMat-Bulk | PBE | optimized geometry; N(E_F) = 6.3 states/eV/f.u.; total moment = 0.571 μB per atom; energy = -2.731 eV per atom; crystal system = monoclinic; E_form = 0.45 eV/atom
1.0
-0.090 3.805 -1.913
-1.932 1.026 -3.655
-8.126 3.242 3.425
Cd Fe Sr
1 1 2
direct
0.750 0.750 0.750
0.250 0.250 0.250
0.995 0.995 0.031
0.505 0.505 0.469


3.
Sr2CdFe | Alexandria via LeMat-Bulk | PBE | optimized geometry; N(E_F) = 5.8 states/eV/f.u.; total moment = 0.518 μB per atom; energy = -2.972 eV per atom; crystal system = orthorhombic; E_form = 0.21 eV/atom
1.0
4.653 0.000 0.000
0.000 4.662 0.207
0.000 2.062 6.080
Cd Fe Sr
1 1 2
direct
0.000 0.683 0.509
0.500 0.570 0.736
0.000 0.980 0.915
0.500 0.267 0.340


4.
Sr2CdFe | Alexandria via LeMat-Bulk | PBE | optimized geometry; N(E_F) = 6.4 states/eV/f.u.; total moment = 0.780 μB per atom; energy = -2.735 eV per atom; crystal system = cubic; E_form = 0.45 eV/atom
1.0
-3.269 -0.025 -4.298
-0.440 -4.447 -3.032
-4.560 -2.891 0.093
Cd Fe Sr
1 1 2
direct
0.500 0.500 0.500
0.750 0.750 0.750
0.000 0.000 0.000
0.250 0.250 0.250


5.
Sr2CdFe | Alexandria via LeMat-Bulk | PBE | optimized geometry; N(E_F) = 5.5 states/eV/f.u.; total moment = 0.574 μB per atom; energy = -2.904 eV per atom; crystal system = orthorhombic; E_form = 0.28 eV/atom
1.0
6.667 0.011 0.029
3.309 5.788 -0.029
-4.448 -3.828 3.164
Cd Fe Sr
1 1 2
direct
0.453 0.453 0.000
0.288 0.788 0.500
0.027 0.027 0.000
0.733 0.233 0.500


6.
Sr2CdFe | Alexandria via LeMat-Bulk | PBE | optimized geometry; N(E_F) = 4.7 states/eV/f.u.; total moment = 0.521 μB per atom; energy = -2.754 eV per atom; crystal system = tetragonal; E_form = 0.43 eV/atom
1.0
11.058 0.000 0.000
0.000 11.058 0.000
5.529 5.529 2.554
Sr Fe Cd
4 2 2
direct
0.455 0.125 0.250
0.295 0.625 0.250
0.375 0.545 0.750
0.875 0.705 0.750
0.500 0.500 0.000
0.250 0.750 0.500
0.000 0.000 0.000
0.750 0.250 0.500


Please write out number 4 again, unchanged.
Sr2CdFe | Alexandria via LeMat-Bulk | PBE | optimized geometry; N(E_F) = 6.4 states/eV/f.u.; total moment = 0.780 μB per atom; energy = -2.735 eV per atom; crystal system = cubic; E_form = 0.45 eV/atom
1.0
-3.269 -0.025 -4.298
-0.440 -4.447 -3.032
-4.560 -2.891 0.093
Cd Fe Sr
1 1 2
direct
0.500 0.500 0.500
0.750 0.750 0.750
0.000 0.000 0.000
0.250 0.250 0.250


Q: Among the records above, which one has the lowest total moment?
A: number 3


What did the third record say?
Sr2CdFe | Alexandria via LeMat-Bulk | PBE | optimized geometry; N(E_F) = 5.8 states/eV/f.u.; total moment = 0.518 μB per atom; energy = -2.972 eV per atom; crystal system = orthorhombic; E_form = 0.21 eV/atom
1.0
4.653 0.000 0.000
0.000 4.662 0.207
0.000 2.062 6.080
Cd Fe Sr
1 1 2
direct
0.000 0.683 0.509
0.500 0.570 0.736
0.000 0.980 0.915
0.500 0.267 0.340


Please write out number 2 again, unchanged.
Sr2CdFe | Alexandria via LeMat-Bulk | PBE | optimized geometry; N(E_F) = 6.3 states/eV/f.u.; total moment = 0.571 μB per atom; energy = -2.731 eV per atom; crystal system = monoclinic; E_form = 0.45 eV/atom
1.0
-0.090 3.805 -1.913
-1.932 1.026 -3.655
-8.126 3.242 3.425
Cd Fe Sr
1 1 2
direct
0.750 0.750 0.750
0.250 0.250 0.250
0.995 0.995 0.031
0.505 0.505 0.469